Entry from Alexandria via LeMat-Bulk: Pa4Sb after structural relaxation (PBE).

Calculated values
* symmetry: Pm-3m (221)
* E_tot: -36.14 eV per cell
* uncorrected formation energy: 1.194 eV per atom

Unit cell a=5.596 b=5.596 c=5.596 alpha=90.00 beta=90.00 gamma=90.00
Atoms (fractional coordinates):
Pa 0.000 0.000 0.000
Pa 0.000 0.500 0.500
Pa 0.500 0.000 0.500
Pa 0.500 0.500 0.000
Sb 0.500 0.500 0.500

---

Entry from Alexandria via LeMat-Bulk: PaSb2 after structural relaxation (PBE).

Calculated values
* symmetry: P4/nmm (129)
* E_tot: -38.64 eV per cell
* uncorrected formation energy: -0.526 eV per atom

Unit cell a=4.342 b=4.342 c=8.725 alpha=90.00 beta=90.00 gamma=90.00
Atoms (fractional coordinates):
Pa 0.250 0.250 0.223
Pa 0.750 0.750 0.777
Sb 0.250 0.250 0.860
Sb 0.250 0.750 0.500
Sb 0.750 0.250 0.500
Sb 0.750 0.750 0.140

---

Entry from Alexandria via LeMat-Bulk: Sc5PaSb4 after structural relaxation (PBE).

Calculated values
* symmetry: C2/m (12)
* E_tot: -62.89 eV per cell
* uncorrected formation energy: -0.524 eV per atom

Unit cell a=8.269 b=8.269 c=7.404 alpha=99.95 beta=99.95 gamma=32.65
Atoms (fractional coordinates):
Sc 0.000 0.000 0.000
Sc 0.321 0.321 0.496
Sc 0.348 0.348 0.039
Sc 0.652 0.652 0.961
Sc 0.679 0.679 0.504
Pa 0.000 0.000 0.500
Sb 0.191 0.191 0.747
Sb 0.471 0.471 0.762
Sb 0.529 0.529 0.238
Sb 0.809 0.809 0.253

---

Entry from Alexandria via LeMat-Bulk: Sc3PaSb4 after structural relaxation (PBE).

Calculated values
* symmetry: Cmmm (65)
* E_tot: -51.44 eV per cell
* uncorrected formation energy: -0.807 eV per atom

Unit cell a=7.301 b=7.301 c=4.234 alpha=90.00 beta=90.00 gamma=109.52
Atoms (fractional coordinates):
Sc 0.000 0.000 0.000
Sc 0.000 0.500 0.500
Sc 0.500 0.000 0.500
Pa 0.500 0.500 0.000
Sb 0.238 0.238 0.500
Sb 0.245 0.755 0.000
Sb 0.755 0.245 0.000
Sb 0.762 0.762 0.500

---

Entry from Alexandria via LeMat-Bulk: ScPa3Sb5 after structural relaxation (PBE).

Calculated values
* symmetry: P6_3/mcm (193)
* E_tot: -122.34 eV per cell
* uncorrected formation energy: -0.638 eV per atom

Unit cell a=9.265 b=9.265 c=6.244 alpha=90.00 beta=90.00 gamma=120.00
Atoms (fractional coordinates):
Sc 0.000 0.000 0.000
Sc 0.000 0.000 0.500
Pa 0.000 0.388 0.250
Pa 0.000 0.612 0.750
Pa 0.388 0.000 0.250
Pa 0.388 0.388 0.750
Pa 0.612 0.000 0.750
Pa 0.612 0.612 0.250
Sb 0.000 0.269 0.750
Sb 0.000 0.731 0.250
Sb 0.269 0.000 0.750
Sb 0.269 0.269 0.250
Sb 0.333 0.667 0.000
Sb 0.333 0.667 0.500
Sb 0.667 0.333 0.000
Sb 0.667 0.333 0.500
Sb 0.731 0.000 0.250
Sb 0.731 0.731 0.750

---

Entry from Alexandria via LeMat-Bulk: ScPaSb2 after structural relaxation (PBE).

Calculated values
* symmetry: P4/mmm (123)
* E_tot: -26.33 eV per cell
* uncorrected formation energy: -0.564 eV per atom

Unit cell a=5.116 b=5.116 c=3.778 alpha=90.00 beta=90.00 gamma=90.00
Atoms (fractional coordinates):
Sc 0.000 0.000 0.000
Pa 0.500 0.500 0.000
Sb 0.000 0.500 0.500
Sb 0.500 0.000 0.500

---

Entry from Alexandria via LeMat-Bulk: Sc3Pa5Sb12 after structural relaxation (PBE).

Calculated values
* symmetry: Ia-3d (230)
* E_tot: -464.02 eV per cell
* uncorrected formation energy: -0.003 eV per atom

Unit cell a=15.226 b=15.226 c=15.226 alpha=109.47 beta=109.47 gamma=109.47
Atoms (fractional coordinates):
Sc 0.125 0.250 0.375
Sc 0.125 0.375 0.750
Sc 0.250 0.375 0.125
Sc 0.250 0.875 0.625
Sc 0.375 0.125 0.250
Sc 0.375 0.750 0.125
Sc 0.625 0.250 0.875
Sc 0.625 0.875 0.750
Sc 0.750 0.125 0.375
Sc 0.750 0.625 0.875
Sc 0.875 0.625 0.250
Sc 0.875 0.750 0.625
Pa 0.000 0.000 0.000
Pa 0.000 0.000 0.500
Pa 0.000 0.500 0.000
Pa 0.000 0.500 0.500
Pa 0.125 0.750 0.875
Pa 0.125 0.875 0.250
Pa 0.250 0.125 0.875
Pa 0.250 0.625 0.375
Pa 0.375 0.250 0.625
Pa 0.375 0.625 0.750
Pa 0.500 0.000 0.000
Pa 0.500 0.000 0.500
Pa 0.500 0.500 0.000
Pa 0.500 0.500 0.500
Pa 0.625 0.375 0.250
Pa 0.625 0.750 0.375
Pa 0.750 0.375 0.625
Pa 0.750 0.875 0.125
Pa 0.875 0.125 0.750
Pa 0.875 0.250 0.125
Sb 0.065 0.238 0.132
Sb 0.065 0.327 0.933
Sb 0.067 0.632 0.394
Sb 0.067 0.935 0.673
Sb 0.106 0.738 0.673
Sb 0.106 0.868 0.433
Sb 0.132 0.065 0.238
Sb 0.132 0.567 0.894
Sb 0.173 0.238 0.606
Sb 0.173 0.435 0.567
Sb 0.238 0.132 0.065
Sb 0.238 0.606 0.173
Sb 0.262 0.327 0.894
Sb 0.262 0.435 0.368
Sb 0.327 0.894 0.262
Sb 0.327 0.933 0.065
Sb 0.368 0.262 0.435
Sb 0.368 0.606 0.933
Sb 0.394 0.067 0.632
Sb 0.394 0.827 0.762
Sb 0.433 0.106 0.868
Sb 0.433 0.827 0.565
Sb 0.435 0.368 0.262
Sb 0.435 0.567 0.173
Sb 0.565 0.433 0.827
Sb 0.565 0.632 0.738
Sb 0.567 0.173 0.435
Sb 0.567 0.894 0.132
Sb 0.606 0.173 0.238
Sb 0.606 0.933 0.368
Sb 0.632 0.394 0.067
Sb 0.632 0.738 0.565
Sb 0.673 0.067 0.935
Sb 0.673 0.106 0.738
Sb 0.738 0.565 0.632
Sb 0.738 0.673 0.106
Sb 0.762 0.394 0.827
Sb 0.762 0.868 0.935
Sb 0.827 0.565 0.433
Sb 0.827 0.762 0.394
Sb 0.868 0.433 0.106
Sb 0.868 0.935 0.762
Sb 0.894 0.132 0.567
Sb 0.894 0.262 0.327
Sb 0.933 0.065 0.327
Sb 0.933 0.368 0.606
Sb 0.935 0.673 0.067
Sb 0.935 0.762 0.868

---

Entry from Alexandria via LeMat-Bulk: Sc2PaSb3 after structural relaxation (PBE).

Calculated values
* symmetry: Pnma (62)
* E_tot: -156.11 eV per cell
* uncorrected formation energy: -0.750 eV per atom

Unit cell a=8.466 b=6.032 c=12.702 alpha=90.00 beta=90.00 gamma=90.00
Atoms (fractional coordinates):
Sc 0.124 0.250 0.085
Sc 0.124 0.250 0.744
Sc 0.376 0.750 0.244
Sc 0.376 0.750 0.585
Sc 0.624 0.250 0.415
Sc 0.624 0.250 0.756
Sc 0.876 0.750 0.256
Sc 0.876 0.750 0.915
Pa 0.125 0.250 0.422
Pa 0.375 0.750 0.922
Pa 0.625 0.250 0.078
Pa 0.875 0.750 0.578
Sb 0.115 0.750 0.087
Sb 0.125 0.750 0.750
Sb 0.139 0.750 0.412
Sb 0.361 0.250 0.912
Sb 0.375 0.250 0.250
Sb 0.385 0.250 0.587
Sb 0.615 0.750 0.413
Sb 0.625 0.750 0.750
Sb 0.639 0.750 0.088
Sb 0.861 0.250 0.588
Sb 0.875 0.250 0.250
Sb 0.885 0.250 0.913

---

Entry from Alexandria via LeMat-Bulk: ScPa2Sb after structural relaxation (PBE).

Calculated values
* symmetry: R-3m (166)
* E_tot: -28.65 eV per cell
* uncorrected formation energy: 0.200 eV per atom

Unit cell a=11.983 b=11.983 c=11.983 alpha=15.39 beta=15.39 gamma=15.39
Atoms (fractional coordinates):
Sc 0.000 0.000 0.000
Pa 0.412 0.412 0.412
Pa 0.588 0.588 0.588
Sb 0.500 0.500 0.500

---

Entry from Alexandria via LeMat-Bulk: ScPaSb2 after structural relaxation (PBE).

Calculated values
* symmetry: I4_1/amd (141)
* E_tot: -53.41 eV per cell
* uncorrected formation energy: -0.659 eV per atom

Unit cell a=7.399 b=7.399 c=7.399 alpha=131.48 beta=131.48 gamma=71.05
Atoms (fractional coordinates):
Sc 0.375 0.625 0.750
Sc 0.625 0.375 0.250
Pa 0.125 0.875 0.250
Pa 0.875 0.125 0.750
Sb 0.131 0.381 0.750
Sb 0.381 0.131 0.250
Sb 0.619 0.869 0.750
Sb 0.869 0.619 0.250

---

Entry from Alexandria via LeMat-Bulk: ScPaSb2 after structural relaxation (PBE).

Calculated values
* symmetry: R3m (160)
* E_tot: -26.56 eV per cell
* uncorrected formation energy: -0.622 eV per atom

Unit cell a=7.849 b=7.849 c=7.849 alpha=30.58 beta=30.58 gamma=30.58
Atoms (fractional coordinates):
Sc 0.000 0.000 0.000
Pa 0.170 0.170 0.170
Sb 0.412 0.412 0.412
Sb 0.592 0.592 0.592

---

Entry from Alexandria via LeMat-Bulk: Sc2PaSb4 after structural relaxation (PBE).

Calculated values
* symmetry: Cmcm (63)
* E_tot: -85.29 eV per cell
* uncorrected formation energy: -0.571 eV per atom

Unit cell a=6.367 b=6.367 c=15.092 alpha=90.00 beta=90.00 gamma=141.07
Atoms (fractional coordinates):
Sc 0.140 0.860 0.567
Sc 0.140 0.860 0.933
Sc 0.860 0.140 0.067
Sc 0.860 0.140 0.433
Pa 0.393 0.607 0.750
Pa 0.607 0.393 0.250
Sb 0.085 0.915 0.750
Sb 0.205 0.795 0.124
Sb 0.205 0.795 0.376
Sb 0.500 0.500 0.000
Sb 0.500 0.500 0.500
Sb 0.795 0.205 0.624
Sb 0.795 0.205 0.876
Sb 0.915 0.085 0.250